[1]
Below is ScNiIr2 after structural relaxation, with properties calculated at the PBE-GGA level.

Structure (CIF):
```
data_ScNiIr2
_chemical_formula_sum 'Sc2 Ni2 Ir4'
_space_group_name_H-M_alt 'I 4/m m m'
_space_group_IT_number 139
_space_group_name_Hall '-I 4 2'
_cell_length_a 3.921
_cell_length_b 3.921
_cell_length_c 7.743
_cell_angle_alpha 90.00
_cell_angle_beta 90.00
_cell_angle_gamma 90.00
loop_
_atom_site_label
_atom_site_type_symbol
_atom_site_fract_x
_atom_site_fract_y
_atom_site_fract_z
Sc1 Sc 0.000 0.000 0.000
Ni1 Ni 0.000 0.000 0.500
Ir1 Ir 0.000 0.500 0.250
```

Summary:
magnetization = 1.105 μB/f.u.
VASP energy = -7.842 eV per atom
formation energy from the elements = -37.0 kJ per mole of atoms

***

[2]
Below is Sc2NiIr2 after structural relaxation, with properties calculated at the PBE-GGA level.

Structure (CIF):
```
data_Sc2NiIr2
_chemical_formula_sum 'Sc4 Ni2 Ir4'
_space_group_name_H-M_alt 'P 4/m b m'
_space_group_IT_number 127
_space_group_name_Hall '-P 4 2ab'
_cell_length_a 7.524
_cell_length_b 7.524
_cell_length_c 3.041
_cell_angle_alpha 90.00
_cell_angle_beta 90.00
_cell_angle_gamma 90.00
loop_
_atom_site_label
_atom_site_type_symbol
_atom_site_fract_x
_atom_site_fract_y
_atom_site_fract_z
Sc1 Sc 0.152 0.348 0.000
Ni1 Ni 0.000 0.000 0.000
Ir1 Ir 0.149 0.649 0.500
```

Summary:
ΔE to the lowest computed polymorph = 0.3134 eV/atom
magnetization = 0.001 μB/f.u.
VASP energy = -7.529 eV per atom
formation energy from the elements = -28.6 kJ per mole of atoms

***

[3]
Below is ScNiIr after structural relaxation, with properties calculated at the PBE-GGA level.

Structure (CIF):
```
data_ScNiIr
_chemical_formula_sum 'Sc4 Ni4 Ir4'
_space_group_name_H-M_alt 'F -4 3 m'
_space_group_IT_number 216
_space_group_name_Hall 'F -4 2 3'
_cell_length_a 5.884
_cell_length_b 5.884
_cell_length_c 5.884
_cell_angle_alpha 90.00
_cell_angle_beta 90.00
_cell_angle_gamma 90.00
loop_
_atom_site_label
_atom_site_type_symbol
_atom_site_fract_x
_atom_site_fract_y
_atom_site_fract_z
Sc1 Sc 0.000 0.000 0.000
Ni1 Ni 0.250 0.250 0.250
Ir1 Ir 0.000 0.000 0.500
```

Summary:
ΔE to the lowest computed polymorph = 0.4770 eV/atom
magnetization = 0.535 μB/f.u.
VASP energy = -7.217 eV per atom
formation energy from the elements = -21.8 kJ per mole of atoms

***

[4]
Below is ScNiIr2 after structural relaxation, with properties calculated at the PBE-GGA level.

Structure (CIF):
```
data_ScNiIr2
_chemical_formula_sum 'Sc1 Ni1 Ir2'
_space_group_name_H-M_alt 'P m m 2'
_space_group_IT_number 25
_cell_length_a 2.880
_cell_length_b 4.453
_cell_length_c 4.593
_cell_angle_alpha 90.00
_cell_angle_beta 90.00
_cell_angle_gamma 90.00
loop_
_space_group_symop_operation_xyz
'x,y,z'
'-x,-y,z'
'-x,y,z'
'x,-y,z'
loop_
_atom_site_label
_atom_site_type_symbol
_atom_site_fract_x
_atom_site_fract_y
_atom_site_fract_z
Sc1 Sc 0.000 0.000 0.000
Ni1 Ni 0.500 0.500 0.135
Ir1 Ir 0.000 0.500 0.611
Ir2 Ir 0.500 0.000 0.491
```

Summary:
magnetization = 0.000 μB/f.u.
VASP energy = -7.873 eV per atom
formation energy from the elements = -39.9 kJ per mole of atoms